1.
Rb2HfMnSe4 | PBE | optimized geometry

a = 14.549 Å, b = 13.014 Å, c = 7.861 Å
α = 84.54°, β = 62.93°, γ = 32.54°
Sites, in units of the cell vectors:
Rb1 0.054 0.054 0.696
Rb2 0.304 0.304 0.946
Rb3 0.696 0.696 0.054
Rb4 0.946 0.946 0.304
Hf1 0.125 0.125 0.125
Hf2 0.875 0.875 0.875
Mn1 0.375 0.375 0.375
Mn2 0.625 0.625 0.625
Se1 0.032 0.327 0.417
Se2 0.276 0.583 0.673
Se3 0.327 0.032 0.724
Se4 0.417 0.724 0.032
Se5 0.583 0.276 0.968
Se6 0.673 0.968 0.276
Se7 0.724 0.417 0.327
Se8 0.968 0.673 0.583

Computed properties:
Energy relative to the elements, uncorrected ... -1.121 eV per atom



2.
NbPdSe2N | PBE | optimized geometry

a = 5.106 Å, b = 5.106 Å, c = 3.681 Å
α = 90.00°, β = 90.00°, γ = 90.00°
Sites, in units of the cell vectors:
Nb1 0.000 0.000 0.000
Pd1 0.500 0.500 0.500
Se1 0.000 0.500 0.500
Se2 0.500 0.000 0.500
N1 0.500 0.500 0.000

Computed properties:
Energy relative to the elements, uncorrected ... 0.795 eV per atom



3.
MgPd6Au12 | PBE | optimized geometry

a = 7.185 Å, b = 7.185 Å, c = 7.185 Å
α = 102.55°, β = 102.55°, γ = 102.55°
Sites, in units of the cell vectors:
Mg1 0.000 0.000 0.000
Pd1 0.161 0.418 0.169
Pd2 0.169 0.161 0.418
Pd3 0.418 0.169 0.161
Pd4 0.582 0.831 0.839
Pd5 0.831 0.839 0.582
Pd6 0.839 0.582 0.831
Au1 0.005 0.258 0.744
Au2 0.191 0.579 0.590
Au3 0.256 0.995 0.742
Au4 0.258 0.744 0.005
Au5 0.410 0.809 0.421
Au6 0.421 0.410 0.809
Au7 0.579 0.590 0.191
Au8 0.590 0.191 0.579
Au9 0.742 0.256 0.995
Au10 0.744 0.005 0.258
Au11 0.809 0.421 0.410
Au12 0.995 0.742 0.256

Computed properties:
Total DFT energy (no corrections) ... -3.83 eV/atom



Per-record spin magnetization, μB/f.u.: 5.00, 2.11, 0.00